[1]
VASP calculation (PBE-GGA) on a relaxed Be2SbIr crystal.

Properties
The value obtained for the magnetization is 0.00 μB/cell. The calculation puts the energy relative to the elements, uncorrected at 0.215 eV/atom. Its total energy is -4.894 eV/atom. Its space group is Cmmm (65).

```
Be2SbIr
1.0
4.327 0.038 0.000
-1.053 4.197 0.000
0.000 0.000 3.013
Sb Ir Be
1 1 2
Cartesian
-0.527 2.099 1.507 Sb
2.164 0.019 1.507 Ir
0.000 0.000 0.000 Be
1.637 2.118 0.000 Be
```

***

[2]
VASP calculation (PBE-GGA) on a relaxed BeSbIr2 crystal.

Properties
The value obtained for the magnetization is 0.00 μB/cell. The calculation puts the energy relative to the elements, uncorrected at 0.198 eV/atom. Its total energy is -6.194 eV/atom. Its space group is I-42d (122).

```
BeSbIr2
1.0
4.079 0.000 0.000
0.000 4.079 0.000
2.039 2.039 8.128
Sb Ir Be
2 4 2
Cartesian
0.000 0.000 0.000 Sb
4.079 2.039 4.064 Sb
2.854 1.020 2.032 Ir
1.225 3.059 2.032 Ir
3.059 3.264 6.096 Ir
5.098 4.893 6.096 Ir
2.039 2.039 0.000 Be
2.039 4.079 4.064 Be
```

***

[3]
VASP calculation (PBE-GGA) on a relaxed Be2SbIr2 crystal.

Properties
The value obtained for the magnetization is 0.00 μB/cell. The calculation puts the energy relative to the elements, uncorrected at -0.145 eV/atom. Its total energy is -6.004 eV/atom. Its space group is I4/mmm (139).

```
Be2SbIr2
1.0
3.276 0.000 0.000
0.000 3.276 0.000
1.638 1.638 6.493
Sb Ir Be
1 2 2
Cartesian
0.000 0.000 0.000 Sb
1.638 1.638 1.514 Ir
3.276 3.276 4.979 Ir
3.276 1.638 3.247 Be
1.638 3.276 3.247 Be
```

***

[4]
VASP calculation (PBE-GGA) on a relaxed BeSbIr crystal.

Properties
The value obtained for the magnetization is 0.00 μB/cell. The calculation puts the energy relative to the elements, uncorrected at -0.075 eV/atom. Its total energy is -5.645 eV/atom. Its space group is F-43m (216).

```
BeSbIr
1.0
4.220 0.000 0.000
2.110 3.655 0.000
2.110 1.218 3.446
Sb Ir Be
1 1 1
Cartesian
0.000 0.000 0.000 Sb
2.110 1.218 0.861 Ir
4.220 2.437 1.723 Be
```

***

[5]
VASP calculation (PBE-GGA) on a relaxed BeSbIr crystal.

Properties
The value obtained for the magnetization is 0.00 μB/cell. The calculation puts the energy relative to the elements, uncorrected at 0.046 eV/atom. Its total energy is -5.524 eV/atom. Its space group is P-6m2 (187).

```
BeSbIr
1.0
3.902 0.000 0.000
-1.951 3.379 0.000
0.000 0.000 3.743
Sb Ir Be
1 1 1
Cartesian
0.000 2.253 2.494 Sb
1.951 1.126 0.623 Ir
0.000 0.000 0.626 Be
```

***

[6]
VASP calculation (PBE-GGA) on a relaxed BeSb2IrSe crystal.

Properties
The value obtained for the magnetization is 0.00 μB/cell. The calculation puts the energy relative to the elements, uncorrected at 0.216 eV/atom. Its total energy is -4.648 eV/atom. Its space group is P4/mmm (123).

```
BeSb2IrSe
1.0
-3.147 -3.471 2.161
2.729 -3.132 -1.057
2.436 0.600 4.509
Sb Ir Se Be
2 1 1 1
Cartesian
1.218 0.300 2.255 Sb
-1.574 -1.736 1.081 Sb
0.000 0.000 0.000 Ir
1.009 -3.002 2.807 Se
1.364 -1.566 -0.529 Be
```

***

[7]
VASP calculation (PBE-GGA) on a relaxed BeSnSb2Ir crystal.

Properties
The value obtained for the magnetization is 0.00 μB/cell. The calculation puts the energy relative to the elements, uncorrected at 0.279 eV/atom. Its total energy is -4.688 eV/atom. Its space group is P4/mmm (123).

```
BeSnSb2Ir
1.0
5.279 0.000 0.000
0.000 4.257 0.000
0.000 0.000 5.279
Sb Ir Sn Be
2 1 1 1
Cartesian
0.000 0.000 2.640 Sb
2.640 0.000 0.000 Sb
0.000 0.000 0.000 Ir
2.640 2.128 2.640 Sn
0.000 2.128 0.000 Be
```

***

[8]
VASP calculation (PBE-GGA) on a relaxed BeSb2TeIr crystal.

Properties
The value obtained for the magnetization is 0.00 μB/cell. The calculation puts the energy relative to the elements, uncorrected at 0.875 eV/atom. Its total energy is -3.920 eV/atom. Its space group is P4/mmm (123).

```
BeSb2TeIr
1.0
4.677 0.000 0.000
0.000 4.677 0.000
0.000 0.000 4.902
Sb Ir Te Be
2 1 1 1
Cartesian
0.000 2.339 0.000 Sb
2.339 0.000 0.000 Sb
2.339 2.339 2.451 Ir
0.000 0.000 2.451 Te
0.000 0.000 0.000 Be
```

***

[9]
VASP calculation (PBE-GGA) on a relaxed BeSbTe2Ir crystal.

Properties
The value obtained for the magnetization is 0.00 μB/cell. The calculation puts the energy relative to the elements, uncorrected at 0.896 eV/atom. Its total energy is -3.702 eV/atom. Its space group is P4/mmm (123).

```
BeSbTe2Ir
1.0
4.831 0.000 0.000
0.000 4.641 0.000
0.000 0.000 4.831
Sb Ir Te Be
1 1 2 1
Cartesian
0.000 2.320 0.000 Sb
2.415 2.320 2.415 Ir
0.000 0.000 2.415 Te
2.415 0.000 0.000 Te
0.000 0.000 0.000 Be
```

***

[10]
VASP calculation (PBE-GGA) on a relaxed BeSb2TeIr crystal.

Properties
The value obtained for the magnetization is 0.00 μB/cell. The calculation puts the energy relative to the elements, uncorrected at 0.935 eV/atom. Its total energy is -3.860 eV/atom. Its space group is P4/mmm (123).

```
BeSb2TeIr
1.0
-0.553 -0.068 5.004
4.779 -1.500 0.508
1.683 5.448 0.260
Sb Ir Te Be
2 1 1 1
Cartesian
2.390 -0.750 0.254 Sb
-0.276 -0.034 2.502 Sb
0.000 0.000 0.000 Ir
0.841 2.724 0.130 Te
2.954 1.940 2.886 Be
```

***

[11]
VASP calculation (PBE-GGA) on a relaxed BeSbTe2Ir crystal.

Properties
The value obtained for the magnetization is 0.00 μB/cell. The calculation puts the energy relative to the elements, uncorrected at 0.950 eV/atom. Its total energy is -3.648 eV/atom. Its space group is P4/mmm (123).

```
BeSbTe2Ir
1.0
-0.118 -1.921 5.084
1.608 -4.869 -1.803
4.706 1.328 0.611
Sb Ir Te Be
1 1 2 1
Cartesian
2.353 0.664 0.306 Sb
0.000 0.000 0.000 Ir
0.804 -2.435 -0.901 Te
-0.059 -0.961 2.542 Te
3.098 -2.731 1.946 Be
```

***

[12]
VASP calculation (PBE-GGA) on a relaxed ScBe2Ir crystal.

Properties
As for the formation energy: -0.252 eV per atom. The value obtained for the magnetization is 0.00 μB/cell. Its total energy is -5.913 eV/atom. Its space group is F-43m (216).

```
ScBe2Ir
1.0
-3.552 0.693 -2.197
-1.809 -3.165 -2.153
-3.668 -1.641 1.333
Sc Be Ir
1 2 1
Cartesian
-6.772 -3.085 -2.263 Sc
0.000 0.000 0.000 Be
-2.257 -1.028 -0.754 Be
-4.515 -2.057 -1.508 Ir
```

***

[13]
VASP calculation (PBE-GGA) on a relaxed ScBe2Ir crystal.

Properties
As for the formation energy: -0.476 eV per atom. The value obtained for the magnetization is 0.00 μB/cell. Its total energy is -6.138 eV/atom. Its space group is Amm2 (38).

```
ScBe2Ir
1.0
-2.794 0.936 -1.984
0.277 -2.538 -1.587
-2.770 -3.493 2.254
Sc Be Ir
1 2 1
Cartesian
-3.361 -4.300 -0.475 Sc
-0.037 -0.545 -0.205 Be
-2.099 -0.583 -0.499 Be
-1.037 -2.683 0.195 Ir
```

***

[14]
VASP calculation (PBE-GGA) on a relaxed ScBe6Ir2 crystal.

Properties
As for the formation energy: -0.356 eV per atom. The value obtained for the magnetization is 0.00 μB/cell. Its total energy is -5.513 eV/atom. Its space group is Immm (71).

```
ScBe6Ir2
1.0
-0.991 -0.981 -2.778
3.055 -5.555 -0.867
-2.690 -5.676 1.225
Sc Be Ir
1 6 2
Cartesian
0.000 0.000 0.000 Sc
-2.268 -4.270 -1.161 Be
1.643 -7.941 -1.260 Be
-1.773 -8.013 -0.016 Be
0.636 -6.086 -1.556 Be
-1.262 -6.126 -0.864 Be
1.147 -4.199 -2.405 Be
-0.624 -7.992 -2.172 Ir
-0.002 -4.220 -0.248 Ir
```

***

[15]
VASP calculation (PBE-GGA) on a relaxed ScBe2Ir crystal.

Properties
As for the formation energy: -0.253 eV per atom. The value obtained for the magnetization is 0.00 μB/cell. Its total energy is -5.914 eV/atom. Its space group is P4/mmm (123).

```
ScBe2Ir
1.0
-1.185 1.899 -2.968
-2.689 -2.512 -0.533
-2.360 2.049 2.254
Sc Be Ir
1 2 1
Cartesian
-2.525 -0.232 0.860 Sc
0.000 0.000 0.000 Be
-1.937 -0.306 -1.751 Be
-1.773 1.974 -0.357 Ir
```

***

[16]
VASP calculation (PBE-GGA) on a relaxed Sc4BeIr crystal.

Properties
As for the formation energy: 0.490 eV per atom. The value obtained for the magnetization is 0.00 μB/cell. Its total energy is -5.829 eV/atom. Its space group is F-43m (216).

```
Sc4BeIr
1.0
0.000 3.845 3.845
3.845 0.000 3.845
3.845 3.845 0.000
Sc Be Ir
4 1 1
Cartesian
2.871 4.819 4.819 Sc
4.819 4.819 2.871 Sc
4.819 2.871 4.819 Sc
2.871 2.871 2.871 Sc
5.768 5.768 5.768 Be
0.000 0.000 0.000 Ir
```

***

[17]
VASP calculation (PBE-GGA) on a relaxed ScBeIr2 crystal.

Properties
As for the formation energy: -0.195 eV per atom. The value obtained for the magnetization is 0.01 μB/cell. Its total energy is -7.140 eV/atom. Its space group is F-43m (216).

```
ScBeIr2
1.0
4.379 0.000 0.000
2.189 3.792 0.000
2.189 1.264 3.575
Sc Be Ir
1 1 2
Cartesian
6.568 3.792 2.681 Sc
4.379 2.528 1.788 Be
0.000 0.000 0.000 Ir
2.189 1.264 0.894 Ir
```

***

[18]
VASP calculation (PBE-GGA) on a relaxed ScBeIr2 crystal.

Properties
As for the formation energy: -0.388 eV per atom. The value obtained for the magnetization is 0.00 μB/cell. Its total energy is -7.333 eV/atom. Its space group is R-3m (166).

```
ScBeIr2
1.0
-1.695 5.202 -5.425
-4.342 3.905 -5.026
-3.467 6.089 -3.206
Sc Be Ir
1 1 2
Cartesian
-2.376 3.799 -3.414 Sc
-7.128 11.397 -10.243 Be
-0.113 0.181 -0.162 Ir
-4.639 7.417 -6.667 Ir
```

***

[19]
VASP calculation (PBE-GGA) on a relaxed ScBeIr2 crystal.

Properties
As for the formation energy: -0.454 eV per atom. The value obtained for the magnetization is 0.00 μB/cell. Its total energy is -7.399 eV/atom. Its space group is Pm (6).

```
ScBeIr2
1.0
4.189 0.000 0.000
0.000 2.869 0.002
0.000 1.424 4.842
Sc Be Ir
1 1 2
Cartesian
0.000 2.319 2.500 Sc
2.094 3.750 3.739 Be
0.000 3.766 4.747 Ir
2.094 0.898 1.125 Ir
```

***

[20]
VASP calculation (PBE-GGA) on a relaxed ScBeIr2 crystal.

Properties
As for the formation energy: -0.482 eV per atom. The value obtained for the magnetization is 0.00 μB/cell. Its total energy is -7.427 eV/atom. Its space group is Cm (8).

```
ScBeIr2
1.0
5.098 0.008 0.024
4.232 2.844 0.024
1.640 0.501 4.023
Sc Be Ir
1 1 2
Cartesian
5.544 1.695 2.195 Sc
2.904 0.888 0.839 Be
9.320 2.849 0.297 Ir
8.017 2.450 2.822 Ir
```